LuThCdIn | PBE | relaxed

Summary:
Energy of formation from the pure elements (kJ/mol of atoms): -23.6
Calculated volume (Å³/f.u.): 108.0
Raw total energy (eV/atom): -4.1428

a b c (Å): 5.345 5.345 5.345
angles (deg): 60.00 60.00 60.00
Fractional positions:
Cd  0.750  0.750  0.750
Lu  0.000  0.000  0.000
Th  0.500  0.500  0.500
In  0.250  0.250  0.250

=====

LaFeCo2 | PBE | relaxed

Summary:
Energy of formation from the pure elements (kJ/mol of atoms): 25.1
Calculated volume (Å³/f.u.): 65.4
Raw total energy (eV/atom): -6.6406

a b c (Å): 3.068 3.068 6.950
angles (deg): 90.00 90.00 89.99
Fractional positions:
Co  0.000  0.000  0.080
Co  0.500  0.500  0.245
Fe  0.000  0.000  0.422
La  0.500  0.500  0.752

=====

SnSb2SI | PBE | relaxed

Summary:
Excess energy over the best structure of this formula in the dataset (meV/atom): 0
Formation energy (no corrections) (eV per atom): 0.47
Calculated volume (Å³/f.u.): 155.3
Raw total energy (eV/atom): -3.1168

a b c (Å): 5.275 5.275 5.582
angles (deg): 90.00 90.00 90.00
Fractional positions:
I  0.000  0.000  0.500
Sb  0.000  0.500  0.000
Sb  0.500  0.000  0.000
S  0.000  0.000  0.000
Sn  0.500  0.500  0.500

=====

Hf2TiHPb | PBE | relaxed

Summary:
Calculated volume (Å³/f.u.): 84.8
Raw total energy (eV/atom): -7.1180

a b c (Å): 4.428 4.428 4.326
angles (deg): 90.00 90.00 90.00
Fractional positions:
Pb  0.500  0.500  0.500
H  0.000  0.000  0.000
Hf  0.000  0.500  0.000
Hf  0.500  0.000  0.000
Ti  0.000  0.000  0.500

=====

La2Zn3Ga4Pd | PBE | relaxed

Summary:
Energy of formation from the pure elements (kJ/mol of atoms): -55.5
Calculated volume (Å³/f.u.): 199.6
Raw total energy (eV/atom): -3.6730

a b c (Å): 4.335 4.335 10.620
angles (deg): 90.00 90.00 90.00
Fractional positions:
La  0.500  0.000  0.251
La  0.000  0.500  0.749
Zn  0.000  0.000  0.500
Zn  0.500  0.000  0.866
Zn  0.000  0.500  0.134
Ga  0.500  0.500  0.000
Ga  0.000  0.000  0.000
Ga  0.500  0.000  0.630
Ga  0.000  0.500  0.370
Pd  0.500  0.500  0.500

=====

Mg2NiTeSe | PBE | relaxed

Summary:
Formation energy (no corrections) (eV per atom): 0.14
Calculated volume (Å³/f.u.): 132.8
Raw total energy (eV/atom): -2.9781

a b c (Å): 5.414 4.531 5.414
angles (deg): 90.00 90.00 90.00
Fractional positions:
Ni  0.000  0.500  0.000
Mg  0.000  0.000  0.500
Mg  0.500  0.000  0.000
Te  0.000  0.000  0.000
Se  0.500  0.500  0.500

=====

La2OsPt | PBE | relaxed

Summary:
Energy of formation from the pure elements (kJ/mol of atoms): -29.0
Calculated volume (Å³/f.u.): 105.0
Raw total energy (eV/atom): -7.0818

a b c (Å): 4.210 4.210 5.926
angles (deg): 90.00 90.00 90.00
Fractional positions:
La  0.000  0.000  0.881
La  0.500  0.500  0.355
Os  0.000  0.000  0.406
Pt  0.500  0.500  0.857

=====

MgSbTe2N | PBE | relaxed

Summary:
Excess energy over the best structure of this formula in the dataset (meV/atom): 96
Formation energy (no corrections) (eV per atom): 0.58
Calculated volume (Å³/f.u.): 135.9
Raw total energy (eV/atom): -3.4890

a b c (Å): 5.869 5.869 3.944
angles (deg): 90.00 90.00 90.00
Fractional positions:
Sb  0.000  0.000  0.000
Mg  0.500  0.500  0.500
Te  0.000  0.500  0.000
Te  0.500  0.000  0.000
N  0.000  0.000  0.500

=====

Sm2HoNi | PBE | relaxed

Summary:
Energy of formation from the pure elements (kJ/mol of atoms): -20.6
Calculated volume (Å³/f.u.): 107.8
Raw total energy (eV/atom): -5.1624

a b c (Å): 6.344 6.920 9.824
angles (deg): 90.00 90.00 90.00
Fractional positions:
Sm  0.176  0.680  0.066
Sm  0.324  0.180  0.434
Sm  0.824  0.320  0.566
Sm  0.676  0.820  0.934
Sm  0.824  0.320  0.934
Sm  0.676  0.820  0.566
Sm  0.176  0.680  0.434
Sm  0.324  0.180  0.066
Ho  0.647  0.536  0.250
Ho  0.853  0.036  0.250
Ho  0.353  0.464  0.750
Ho  0.147  0.964  0.750
Ni  0.054  0.389  0.250
Ni  0.446  0.889  0.250
Ni  0.946  0.611  0.750
Ni  0.554  0.111  0.750

=====

CaLa5Zn3 | PBE | relaxed

Summary:
Energy of formation from the pure elements (kJ/mol of atoms): -13.9
Calculated volume (Å³/f.u.): 265.1
Raw total energy (eV/atom): -3.5290

a b c (Å): 7.083 9.297 9.297
angles (deg): 120.00 90.00 90.00
Fractional positions:
Ca  0.000  0.000  0.000
Ca  0.500  0.000  0.000
La  0.000  0.667  0.333
La  0.500  0.333  0.667
La  0.000  0.333  0.667
La  0.500  0.667  0.333
La  0.750  0.666  0.666
La  0.750  0.000  0.334
La  0.750  0.334  0.000
La  0.250  0.334  0.334
La  0.250  0.000  0.666
La  0.250  0.666  0.000
Zn  0.750  0.329  0.329
Zn  0.750  0.000  0.671
Zn  0.750  0.671  0.000
Zn  0.250  0.671  0.671
Zn  0.250  0.000  0.329
Zn  0.250  0.329  0.000

=====

CaZr3Pt | PBE | relaxed

Summary:
Energy of formation from the pure elements (kJ/mol of atoms): 152.0
Excess energy over the best structure of this formula in the dataset (meV/atom): 1480
Calculated volume (Å³/f.u.): 118.8
Raw total energy (eV/atom): -5.1615

a b c (Å): 4.916 4.916 4.916
angles (deg): 90.00 90.00 90.00
Fractional positions:
Ca  0.000  0.000  0.000
Zr  0.000  0.500  0.000
Zr  0.000  0.000  0.500
Zr  0.500  0.000  0.000
Pt  0.500  0.500  0.500

=====

MgCd4Au | PBE | relaxed

Summary:
Energy of formation from the pure elements (kJ/mol of atoms): -11.0
Excess energy over the best structure of this formula in the dataset (meV/atom): 0
Calculated volume (Å³/f.u.): 125.2
Raw total energy (eV/atom): -1.5356

a b c (Å): 4.461 5.258 6.224
angles (deg): 106.94 90.00 115.10
Fractional positions:
Mg  0.000  0.000  0.500
Cd  0.330  0.660  0.166
Cd  0.670  0.340  0.834
Cd  0.340  0.680  0.672
Cd  0.660  0.320  0.328
Au  0.000  0.000  0.000